[1]
{
  "formula": "ZrCoBr2",
  "functional": "PBE",
  "state": "relaxed",
  "lattice_angstrom": [[3.8291, 0.0000, 0.0000], [0.0000, 3.6049, 0.0000], [-1.2936, 0.0000, 7.4547]],
  "species": ["Zr", "Co", "Br", "Br"],
  "frac_coords": [[0.0000, 0.0000, 0.0000], [0.5460, 0.5000, 0.0452], [0.2099, 0.5000, 0.7504], [0.5710, 0.0000, 0.2762]],
  "sg": "Pm (6)"
}

---

[2]
{
  "formula": "ZrCo2Br",
  "functional": "PBE",
  "state": "relaxed",
  "lattice_angstrom": [[3.1466, 0.0000, 0.0000], [0.0000, 4.2770, 0.0000], [0.0000, 0.0000, 4.6244]],
  "species": ["Zr", "Co", "Co", "Br"],
  "frac_coords": [[0.0000, 0.0000, 0.0000], [0.0000, 0.5000, 0.5000], [0.5000, 0.5000, 0.0000], [0.5000, 0.0000, 0.5000]],
  "sg": "Pmmm (47)"
}

---

[3]
{
  "formula": "Zr4CoBr",
  "functional": "PBE",
  "state": "relaxed",
  "lattice_angstrom": [[0.0000, 4.0643, 4.0643], [4.0643, 0.0000, 4.0643], [4.0643, 4.0643, 0.0000]],
  "species": ["Zr", "Zr", "Zr", "Zr", "Co", "Br"],
  "frac_coords": [[0.3774, 0.3774, 0.3774], [0.3774, 0.3774, 0.8679], [0.3774, 0.8679, 0.3774], [0.8679, 0.3774, 0.3774], [0.7500, 0.7500, 0.7500], [0.0000, 0.0000, 0.0000]],
  "sg": "F-43m (216)"
}

---

[4]
{
  "formula": "ZrCo2Br",
  "functional": "PBE",
  "state": "relaxed",
  "lattice_angstrom": [[3.3613, 0.0000, 0.0000], [0.0000, 4.5126, 0.0000], [0.0000, 0.0000, 8.8989]],
  "species": ["Zr", "Zr", "Co", "Co", "Co", "Co", "Br", "Br"],
  "frac_coords": [[0.0000, 0.0000, 0.0000], [0.5000, 0.5000, 0.5000], [0.0000, 0.0000, 0.5126], [0.0000, 0.5000, 0.1853], [0.5000, 0.0000, 0.6853], [0.5000, 0.5000, 0.0126], [0.0000, 0.5000, 0.7859], [0.5000, 0.0000, 0.2859]],
  "sg": "Imm2 (44)"
}

---

[5]
{
  "formula": "ZrCo2Br",
  "functional": "PBE",
  "state": "relaxed",
  "lattice_angstrom": [[3.4360, 0.0000, 0.0000], [0.0000, 3.4360, 0.0000], [0.0000, 0.0000, 5.7407]],
  "species": ["Zr", "Co", "Co", "Br"],
  "frac_coords": [[0.0000, 0.0000, 0.0000], [0.5000, 0.5000, 0.2048], [0.5000, 0.5000, 0.7952], [0.0000, 0.0000, 0.5000]],
  "sg": "P4/mmm (123)"
}

---

[6]
{
  "formula": "ZrCo2Br",
  "functional": "PBE",
  "state": "relaxed",
  "lattice_angstrom": [[3.2140, 0.0000, 0.0000], [0.0000, 3.2251, 0.0000], [0.0000, 0.0000, 14.1235]],
  "species": ["Zr", "Zr", "Co", "Co", "Co", "Co", "Br", "Br"],
  "frac_coords": [[0.0000, 0.0000, 0.0000], [0.0000, 0.5000, 0.5000], [0.0000, 0.0000, 0.1742], [0.0000, 0.5000, 0.6742], [0.5000, 0.0000, 0.6194], [0.5000, 0.5000, 0.1194], [0.5000, 0.0000, 0.3691], [0.5000, 0.5000, 0.8691]],
  "sg": "Amm2 (38)"
}

---

[7]
{
  "formula": "ZrCoBr2",
  "functional": "PBE",
  "state": "relaxed",
  "lattice_angstrom": [[5.9420, 0.0000, 0.0000], [0.0000, 5.9420, 0.0000], [0.0000, 0.0000, 10.5092]],
  "species": ["Zr", "Zr", "Zr", "Zr", "Co", "Co", "Co", "Co", "Br", "Br", "Br", "Br", "Br", "Br", "Br", "Br"],
  "frac_coords": [[0.0000, 0.0000, 0.0000], [0.0000, 0.5000, 0.2500], [0.5000, 0.0000, 0.7500], [0.5000, 0.5000, 0.5000], [0.0000, 0.0000, 0.5000], [0.0000, 0.5000, 0.7500], [0.5000, 0.0000, 0.2500], [0.5000, 0.5000, 0.0000], [0.2016, 0.2500, 0.6250], [0.2500, 0.7016, 0.8750], [0.2500, 0.7984, 0.3750], [0.2984, 0.2500, 0.1250], [0.7016, 0.7500, 0.1250], [0.7500, 0.2016, 0.3750], [0.7500, 0.2984, 0.8750], [0.7984, 0.7500, 0.6250]],
  "sg": "I-42d (122)"
}

---

[8]
{
  "formula": "ZrCo2Br",
  "functional": "PBE",
  "state": "relaxed",
  "lattice_angstrom": [[3.3997, 0.0000, 0.0000], [0.0000, 3.4289, 0.0000], [0.0000, 0.0000, 6.1980]],
  "species": ["Zr", "Co", "Co", "Br"],
  "frac_coords": [[0.0000, 0.0000, 0.0000], [0.5000, 0.5000, 0.1897], [0.5000, 0.5000, 0.8103], [0.5000, 0.0000, 0.5000]],
  "sg": "Pmmm (47)"
}

---

[9]
{
  "formula": "ZrCoBr2",
  "functional": "PBE",
  "state": "relaxed",
  "lattice_angstrom": [[6.8320, 0.0000, 0.0000], [0.0000, 6.8320, 0.0000], [0.0000, 0.0000, 6.8320]],
  "species": ["Zr", "Zr", "Zr", "Zr", "Co", "Co", "Co", "Co", "Br", "Br", "Br", "Br", "Br", "Br", "Br", "Br"],
  "frac_coords": [[0.0000, 0.0000, 0.0000], [0.0000, 0.5000, 0.5000], [0.5000, 0.0000, 0.5000], [0.5000, 0.5000, 0.0000], [0.2500, 0.2500, 0.7500], [0.2500, 0.7500, 0.2500], [0.7500, 0.2500, 0.2500], [0.7500, 0.7500, 0.7500], [0.0000, 0.0000, 0.5000], [0.0000, 0.5000, 0.0000], [0.2500, 0.2500, 0.2500], [0.2500, 0.7500, 0.7500], [0.5000, 0.0000, 0.0000], [0.5000, 0.5000, 0.5000], [0.7500, 0.2500, 0.7500], [0.7500, 0.7500, 0.2500]],
  "sg": "F-43m (216)"
}

---

[10]
{
  "formula": "ZrCoBr2",
  "functional": "PBE",
  "state": "relaxed",
  "lattice_angstrom": [[3.4040, 0.0000, 0.0000], [0.0000, 3.4040, 0.0000], [0.0000, 0.0000, 6.3707]],
  "species": ["Zr", "Co", "Br", "Br"],
  "frac_coords": [[0.0000, 0.0000, 0.0000], [0.0000, 0.0000, 0.5000], [0.5000, 0.5000, 0.2499], [0.5000, 0.5000, 0.7501]],
  "sg": "P4/mmm (123)"
}

---

[11]
{
  "formula": "ZrCoBr2",
  "functional": "PBE",
  "state": "relaxed",
  "lattice_angstrom": [[3.3601, 0.0000, 0.0000], [-1.6801, 2.9100, 0.0000], [0.0000, 0.0000, 29.1690]],
  "species": ["Zr", "Zr", "Zr", "Co", "Co", "Co", "Br", "Br", "Br", "Br", "Br", "Br"],
  "frac_coords": [[0.0000, 0.0000, 0.0000], [0.3333, 0.6667, 0.6667], [0.6667, 0.3333, 0.3333], [0.0000, 0.0000, 0.5000], [0.3333, 0.6667, 0.1667], [0.6667, 0.3333, 0.8333], [0.0000, 0.0000, 0.2657], [0.0000, 0.0000, 0.7343], [0.3333, 0.6667, 0.4009], [0.3333, 0.6667, 0.9324], [0.6667, 0.3333, 0.0676], [0.6667, 0.3333, 0.5991]],
  "sg": "R-3m (166)"
}

---

[12]
{
  "formula": "ZrCoBr2",
  "functional": "PBE",
  "state": "relaxed",
  "lattice_angstrom": [[4.5074, 0.0000, 0.0000], [0.0000, 4.5074, 0.0000], [0.0000, 0.0000, 3.6257]],
  "species": ["Zr", "Co", "Br", "Br"],
  "frac_coords": [[0.0000, 0.0000, 0.0000], [0.5000, 0.5000, 0.0000], [0.0000, 0.5000, 0.5000], [0.5000, 0.0000, 0.5000]],
  "sg": "P4/mmm (123)"
}

---

[13]
{
  "formula": "ZrCo2Br",
  "functional": "PBE",
  "state": "relaxed",
  "lattice_angstrom": [[8.9114, 0.0000, 0.0000], [0.0000, 3.3292, 0.0000], [-0.5426, 0.0000, 5.2541]],
  "species": ["Zr", "Zr", "Co", "Co", "Co", "Co", "Br", "Br"],
  "frac_coords": [[0.0000, 0.0000, 0.0000], [0.5000, 0.5000, 0.0000], [0.2012, 0.5000, 0.8594], [0.2988, 0.0000, 0.1406], [0.7012, 0.0000, 0.8594], [0.7988, 0.5000, 0.1406], [0.0000, 0.5000, 0.5000], [0.5000, 0.0000, 0.5000]],
  "sg": "C2/m (12)"
}

---

[14]
{
  "formula": "ZrCo2Br",
  "functional": "PBE",
  "state": "relaxed",
  "lattice_angstrom": [[3.9204, 0.0000, 0.0000], [0.0000, 3.9204, 0.0000], [0.0000, 0.0000, 7.9896]],
  "species": ["Zr", "Zr", "Co", "Co", "Co", "Co", "Br", "Br"],
  "frac_coords": [[0.0000, 0.0000, 0.0000], [0.5000, 0.5000, 0.5000], [0.0000, 0.5000, 0.2500], [0.0000, 0.5000, 0.7500], [0.5000, 0.0000, 0.2500], [0.5000, 0.0000, 0.7500], [0.0000, 0.0000, 0.5000], [0.5000, 0.5000, 0.0000]],
  "sg": "I4/mmm (139)"
}

---

[15]
{
  "formula": "ZrCoBr2",
  "functional": "PBE",
  "state": "relaxed",
  "lattice_angstrom": [[3.2441, 0.0000, 0.0000], [0.0000, 6.2258, 0.0000], [0.0000, 0.0000, 8.5123]],
  "species": ["Zr", "Zr", "Co", "Co", "Br", "Br", "Br", "Br"],
  "frac_coords": [[0.0000, 0.0000, 0.0000], [0.5000, 0.5000, 0.0000], [0.0000, 0.0000, 0.5000], [0.5000, 0.5000, 0.5000], [0.0000, 0.5000, 0.2717], [0.0000, 0.5000, 0.7283], [0.5000, 0.0000, 0.2717], [0.5000, 0.0000, 0.7283]],
  "sg": "Cmmm (65)"
}

---

[16]
{
  "formula": "ZrCo2Br",
  "functional": "PBE",
  "state": "relaxed",
  "lattice_angstrom": [[6.3417, 0.0000, 0.0000], [0.0000, 6.3417, 0.0000], [0.0000, 0.0000, 6.3417]],
  "species": ["Zr", "Zr", "Zr", "Zr", "Co", "Co", "Co", "Co", "Co", "Co", "Co", "Co", "Br", "Br", "Br", "Br"],
  "frac_coords": [[0.0000, 0.0000, 0.0000], [0.0000, 0.5000, 0.5000], [0.5000, 0.0000, 0.5000], [0.5000, 0.5000, 0.0000], [0.2500, 0.2500, 0.2500], [0.2500, 0.2500, 0.7500], [0.2500, 0.7500, 0.2500], [0.2500, 0.7500, 0.7500], [0.7500, 0.2500, 0.2500], [0.7500, 0.2500, 0.7500], [0.7500, 0.7500, 0.2500], [0.7500, 0.7500, 0.7500], [0.0000, 0.0000, 0.5000], [0.0000, 0.5000, 0.0000], [0.5000, 0.0000, 0.0000], [0.5000, 0.5000, 0.5000]],
  "sg": "Fm-3m (225)"
}

---

[17]
{
  "formula": "ZrCo2Br",
  "functional": "PBE",
  "state": "relaxed",
  "lattice_angstrom": [[3.2221, 0.0000, 0.0000], [0.0000, 3.2221, 0.0000], [0.0000, 0.0000, 7.5330]],
  "species": ["Zr", "Co", "Co", "Br"],
  "frac_coords": [[0.0000, 0.0000, 0.0000], [0.0000, 0.0000, 0.6767], [0.5000, 0.5000, 0.7733], [0.5000, 0.5000, 0.2423]],
  "sg": "P4mm (99)"
}

---

[18]
{
  "formula": "ZrCoBr2",
  "functional": "PBE",
  "state": "relaxed",
  "lattice_angstrom": [[3.3623, 0.0000, 0.0000], [0.0000, 3.3623, 0.0000], [0.0000, 0.0000, 8.5186]],
  "species": ["Zr", "Co", "Br", "Br"],
  "frac_coords": [[0.0000, 0.0000, 0.0000], [0.5000, 0.5000, 0.8434], [0.0000, 0.0000, 0.6773], [0.5000, 0.5000, 0.2285]],
  "sg": "P4mm (99)"
}

---

[19]
{
  "formula": "ZrCoBr6",
  "functional": "PBE",
  "state": "relaxed",
  "lattice_angstrom": [[6.5044, 0.0000, 0.0000], [0.0000, 13.3725, 0.0000], [-2.2009, 0.0000, 6.1200]],
  "species": ["Zr", "Zr", "Co", "Co", "Br", "Br", "Br", "Br", "Br", "Br", "Br", "Br", "Br", "Br", "Br", "Br"],
  "frac_coords": [[0.0000, 0.0000, 0.0000], [0.5000, 0.5000, 0.0000], [0.0000, 0.5000, 0.5000], [0.5000, 0.0000, 0.5000], [0.2413, 0.3625, 0.7413], [0.2413, 0.6375, 0.7413], [0.2456, 0.0000, 0.7540], [0.2544, 0.5000, 0.2460], [0.2587, 0.1375, 0.2586], [0.2587, 0.8625, 0.2586], [0.7413, 0.1375, 0.7413], [0.7413, 0.8625, 0.7413], [0.7456, 0.5000, 0.7540], [0.7544, 0.0000, 0.2460], [0.7587, 0.3625, 0.2586], [0.7587, 0.6375, 0.2586]],
  "sg": "C2/m (12)"
}

---

[20]
{
  "formula": "ZrCoBr2",
  "functional": "PBE",
  "state": "relaxed",
  "lattice_angstrom": [[3.3124, 0.0000, 0.0000], [0.0000, 4.3396, 0.0000], [0.0000, 0.0000, 5.6471]],
  "species": ["Zr", "Co", "Br", "Br"],
  "frac_coords": [[0.0000, 0.0000, 0.0000], [0.5000, 0.0000, 0.5000], [0.0000, 0.5000, 0.5000], [0.5000, 0.5000, 0.0000]],
  "sg": "Pmmm (47)"
}

---

Respective ΔE_f (raw) values: -0.462; 0.347; 0.735; 0.308; 0.136; -0.015; 0.235; 0.074; 0.355; 0.127; 0.020; 0.212; 0.247; 0.421; 0.150; 0.524; -0.007; -0.386; -0.881; 0.209 eV per atom.
Respective density of states at the Fermi level values: 3.068; 4.574; 10.680; 11.599; 6.353; 6.464; 17.675; 4.785; 27.030; 6.327; 9.607; 4.103; 8.797; 8.115; 7.677; 27.251; 3.410; 4.599; 4.100; 5.477 states/eV/cell.